(1)
DFT (PBE) results for a geometry-optimized HoNpMo structure.

a = 4.692 Å, b = 4.692 Å, c = 4.692 Å
α = 60.00°, β = 60.00°, γ = 60.00°
Positions (direct):
Ho: 0.000 0.000 0.000
Np: 0.500 0.500 0.500
Mo: 0.250 0.250 0.250

Output
ΔH_f (0 K) in meV/atom: 774.6
E_tot in eV per atom: -8.62
Energy above the lowest structure with this stoichiometry in eV/atom: 0.000
Space-group type: F-43m

***

(2)
DFT (PBE) results for a geometry-optimized HoPaMo structure.

a = 4.805 Å, b = 4.805 Å, c = 4.805 Å
α = 60.00°, β = 60.00°, γ = 60.00°
Positions (direct):
Ho: 0.000 0.000 0.000
Pa: 0.500 0.500 0.500
Mo: 0.250 0.250 0.250

Output
ΔH_f (0 K) in meV/atom: 460.8
E_tot in eV per atom: -7.85
Space-group type: F-43m

***

(3)
DFT (PBE) results for a geometry-optimized HoMoPb structure.

a = 4.793 Å, b = 4.793 Å, c = 4.793 Å
α = 60.00°, β = 60.00°, γ = 60.00°
Positions (direct):
Ho: 0.000 0.000 0.000
Mo: 0.500 0.500 0.500
Pb: 0.250 0.250 0.250

Output
E_tot in eV per atom: -5.72
Energy above the lowest structure with this stoichiometry in eV/atom: 0.000
Space-group type: F-43m

***

(4)
DFT (PBE) results for a geometry-optimized HoMoPb structure.

a = 4.976 Å, b = 4.976 Å, c = 4.976 Å
α = 60.00°, β = 60.00°, γ = 60.00°
Positions (direct):
Ho: 0.000 0.000 0.000
Mo: 0.750 0.750 0.750
Pb: 0.250 0.250 0.250

Output
E_tot in eV per atom: -5.30
Energy above the lowest structure with this stoichiometry in eV/atom: 0.425
Space-group type: F-43m